(1)
An optimized crystal structure of SmHo2Cu4, computed with PBE.

Summary:
- calculated density (g/cm³) = 8.3
- E_tot (eV/atom) = -4.32

Lattice parameters (Å, degrees): 5.259 5.259 6.510 113.82 113.82 90.00
Element x y z (fractional)
Ho (0.700, 0.700, 0.401)
Ho (0.300, 0.300, 0.599)
Cu (0.875, 0.375, 0.751)
Cu (0.375, 0.875, 0.751)
Cu (0.125, 0.625, 0.249)
Cu (0.625, 0.125, 0.249)
Sm (0.000, 0.000, 0.000)

(2)
An optimized crystal structure of SmHoCu, computed with PBE.

Summary:
- calculated density (g/cm³) = 7.9
- E_tot (eV/atom) = -4.42
- energy relative to the lowest polymorph listed for this composition (meV/atom) = 160

Lattice parameters (Å, degrees): 3.606 3.606 7.064 90.00 90.00 120.00
Element x y z (fractional)
Cu (0.667, 0.333, 0.340)
Sm (0.000, 0.000, 0.041)
Ho (0.333, 0.667, 0.618)

(3)
An optimized crystal structure of SmHo3Cu4, computed with PBE.

Summary:
- calculated density (g/cm³) = 8.9
- E_tot (eV/atom) = -4.60

Lattice parameters (Å, degrees): 4.920 6.933 9.840 90.00 90.00 90.00
Element x y z (fractional)
Ho (0.000, 0.000, 0.500)
Ho (0.500, 0.500, 0.750)
Ho (0.500, 0.500, 0.250)
Ho (0.000, 0.000, 0.000)
Ho (0.500, 0.000, 0.250)
Ho (0.500, 0.000, 0.750)
Cu (0.000, 0.759, 0.250)
Cu (0.500, 0.242, 0.500)
Cu (0.500, 0.758, 0.500)
Cu (0.000, 0.759, 0.750)
Cu (0.000, 0.241, 0.250)
Cu (0.500, 0.242, 0.000)
Cu (0.500, 0.758, 0.000)
Cu (0.000, 0.241, 0.750)
Sm (0.000, 0.500, 0.500)
Sm (0.000, 0.500, 0.000)

Number 1: E_form 0.03 eV/f.u.. Number 2: E_form 0.13 eV/f.u.. Number 3: E_form -1.93 eV/f.u..